## NdAl2Zn5 (PBE)

Data for a geometry-optimized NdAl2Zn5 structure.

Lattice parameters (Å, degrees): 4.054 6.481 6.481 66.94 71.78 71.78
Element x y z (fractional)
Nd  0.000  0.000  0.000
Al  0.749  0.751  0.751
Al  0.251  0.249  0.249
Zn  0.000  0.500  0.500
Zn  0.634  0.550  0.182
Zn  0.366  0.450  0.818
Zn  0.366  0.818  0.450
Zn  0.634  0.182  0.550

Values from the calculation:
final energy: -2.54 eV per atom
magnetic moment: 0.0 μB per cell
space-group type: Immm (71)
D(E_F): 2.4 states/eV/cell
E_form: -214 meV per atom